Material: SrCoTeO
Method: DFT, PBE with a Hubbard U
State: optimized geometry

Results
* E: -5.01 eV per atom

Unit cell a=7.5567 b=7.6190 c=12.9916 alpha=90.00 beta=90.00 gamma=90.00
Atoms (fractional coordinates):
Sr: 0.1072 0.0832 0.2065
Sr: 0.1072 0.4168 0.7065
Sr: 0.3928 0.5832 0.2065
Sr: 0.3928 0.9168 0.7065
Sr: 0.6072 0.0832 0.2935
Sr: 0.6072 0.4168 0.7935
Sr: 0.8928 0.5832 0.2935
Sr: 0.8928 0.9168 0.7935
Co: 0.0704 0.7137 0.0593
Co: 0.0704 0.7863 0.5593
Co: 0.4296 0.2137 0.0593
Co: 0.4296 0.2863 0.5593
Co: 0.5704 0.7137 0.4407
Co: 0.5704 0.7863 0.9407
Co: 0.9296 0.2137 0.4407
Co: 0.9296 0.2863 0.9407
Te: 0.2413 0.0467 0.4583
Te: 0.2413 0.4533 0.9583
Te: 0.2587 0.5467 0.4583
Te: 0.2587 0.9533 0.9583
Te: 0.7413 0.0467 0.0417
Te: 0.7413 0.4533 0.5417
Te: 0.7587 0.5467 0.0417
Te: 0.7587 0.9533 0.5417
O: 0.1157 0.7471 0.6998
O: 0.1157 0.7529 0.1998
O: 0.3843 0.2471 0.6998
O: 0.3843 0.2529 0.1998
O: 0.6157 0.7471 0.8002
O: 0.6157 0.7529 0.3002
O: 0.8843 0.2471 0.8002
O: 0.8843 0.2529 0.3002